Entry 1:
# Rb8Au3Cl | Alexandria | PBE | optimized geometry
data_Rb8Au3Cl
_chemical_formula_sum 'Rb16 Au6 Cl2'
_symmetry_space_group_name_H-M 'C 1 2/m 1'
_symmetry_Int_Tables_number 12
_cell_length_a 17.1122
_cell_length_b 9.9453
_cell_length_c 10.0978
_cell_angle_alpha 90.00
_cell_angle_beta 125.03
_cell_angle_gamma 90.00
loop_
_symmetry_equiv_pos_as_xyz
'x,y,z'
'-x,-y,-z'
'-x,y,-z'
'x,-y,z'
'x+1/2,y+1/2,z'
'-x+1/2,-y+1/2,-z'
'-x+1/2,y+1/2,-z'
'x+1/2,-y+1/2,z'
loop_
_atom_site_label
_atom_site_type_symbol
_atom_site_fract_x
_atom_site_fract_y
_atom_site_fract_z
Rb1 Rb 0.0012 0.2422 0.2666
Rb2 Rb 0.2411 0.0000 0.7337
Rb3 Rb 0.2504 0.0000 0.2564
Au1 Au 0.0000 0.5000 0.5000
Au2 Au 0.2500 0.2500 0.5000
Cl1 Cl 0.0000 0.0000 0.5000
# Formation energy (no corrections)   -446 meV per atom

Entry 2:
# Mn2Ir3 | Alexandria | PBE | optimized geometry
data_Mn2Ir3
_chemical_formula_sum 'Mn16 Ir24'
_symmetry_space_group_name_H-M 'F d d 2'
_symmetry_Int_Tables_number 43
_symmetry_space_group_name_Hall 'F 2 -2d'
_cell_length_a 9.0459
_cell_length_b 12.8625
_cell_length_c 4.7872
_cell_angle_alpha 90.00
_cell_angle_beta 90.00
_cell_angle_gamma 90.00
loop_
_atom_site_label
_atom_site_type_symbol
_atom_site_fract_x
_atom_site_fract_y
_atom_site_fract_z
Mn1 Mn 0.0268 0.2020 0.0000
Ir1 Ir 0.0000 0.0000 0.0524
Ir2 Ir 0.0495 0.0975 0.5398
# E_form   -61.0 meV/atom
# Distance to the lowest polymorph of the same formula   0.00 eV per formula unit

Entry 3:
# Ce3Nd5Bi8 | Alexandria | PBE | optimized geometry
data_Ce3Nd5Bi8
_chemical_formula_sum 'Ce9 Nd15 Bi24'
_symmetry_space_group_name_H-M 'R -3 m'
_symmetry_Int_Tables_number 166
_symmetry_space_group_name_Hall '-R 3 2"'
_cell_length_a 9.2090
_cell_length_b 9.2090
_cell_length_c 22.5714
_cell_angle_alpha 90.00
_cell_angle_beta 90.00
_cell_angle_gamma 120.00
loop_
_atom_site_label
_atom_site_type_symbol
_atom_site_fract_x
_atom_site_fract_y
_atom_site_fract_z
Ce1 Ce 0.0000 0.5000 0.0000
Nd1 Nd 0.0000 0.0000 0.0000
Nd2 Nd 0.0000 0.0000 0.5000
Nd3 Nd 0.0000 0.5000 0.5000
Bi1 Bi 0.0000 0.0000 0.2507
Bi2 Bi 0.0012 0.5006 0.2506
# E_form   -892.8 meV/atom

Entry 4:
# Sc2AgCl | Alexandria | PBE | optimized geometry
data_Sc2AgCl
_chemical_formula_sum 'Sc4 Ag2 Cl2'
_symmetry_space_group_name_H-M 'I 4 m m'
_symmetry_Int_Tables_number 107
_symmetry_space_group_name_Hall 'I 4 -2'
_cell_length_a 3.4497
_cell_length_b 3.4497
_cell_length_c 14.2355
_cell_angle_alpha 90.00
_cell_angle_beta 90.00
_cell_angle_gamma 90.00
loop_
_atom_site_label
_atom_site_type_symbol
_atom_site_fract_x
_atom_site_fract_y
_atom_site_fract_z
Sc1 Sc 0.0000 0.0000 0.0000
Sc2 Sc 0.0000 0.0000 0.2350
Ag1 Ag 0.0000 0.0000 0.6379
Cl1 Cl 0.0000 0.0000 0.4162
# Formation energy (no corrections)   -643 meV per atom
# Distance to the lowest polymorph of the same formula   0.09 eV per formula unit

Entry 5:
# PmDyInSn | Alexandria | PBE | optimized geometry
data_PmDyInSn
_chemical_formula_sum 'Pm4 Dy4 In4 Sn4'
_symmetry_space_group_name_H-M 'F -4 3 m'
_symmetry_Int_Tables_number 216
_symmetry_space_group_name_Hall 'F -4 2 3'
_cell_length_a 7.6288
_cell_length_b 7.6288
_cell_length_c 7.6288
_cell_angle_alpha 90.00
_cell_angle_beta 90.00
_cell_angle_gamma 90.00
loop_
_atom_site_label
_atom_site_type_symbol
_atom_site_fract_x
_atom_site_fract_y
_atom_site_fract_z
Pm1 Pm 0.0000 0.0000 0.0000
Dy1 Dy 0.0000 0.0000 0.5000
In1 In 0.2500 0.2500 0.2500
Sn1 Sn 0.2500 0.2500 0.7500
# E_form   -517.7 meV/atom
# Distance to the lowest polymorph of the same formula   0.41 eV per formula unit

Entry 6:
# LiNbGaTe2 | Alexandria | PBE | optimized geometry
data_LiNbGaTe2
_chemical_formula_sum 'Li1 Nb1 Ga1 Te2'
_symmetry_space_group_name_H-M 'P 4/m m m'
_symmetry_Int_Tables_number 123
_symmetry_space_group_name_Hall '-P 4 2'
_cell_length_a 5.2269
_cell_length_b 5.2269
_cell_length_c 4.3428
_cell_angle_alpha 90.00
_cell_angle_beta 90.00
_cell_angle_gamma 90.00
loop_
_atom_site_label
_atom_site_type_symbol
_atom_site_fract_x
_atom_site_fract_y
_atom_site_fract_z
Li1 Li 0.0000 0.0000 0.0000
Nb1 Nb 0.5000 0.5000 0.5000
Ga1 Ga 0.0000 0.0000 0.5000
Te1 Te 0.0000 0.5000 0.0000
# Formation energy (no corrections)   443 meV per atom

Q: Which raw total energy values were calculated for the entries above? A: -2.06 -9.05 -5.44 -4.98 -4.54 -3.82, in eV per atom.